The following is a DFT calculation (PBE) of UInPt6 after structural relaxation.

Cell: 4.8125 5.7542 5.7542 Å, 60.01 90.00 90.00°
Atoms (fractional coordinates):
U (0.0000, 0.0000, 0.0000)
In (0.5000, 0.3333, 0.3333)
Pt (0.0000, 0.5003, 0.5003)
Pt (0.0000, 0.5013, 0.9966)
Pt (0.0000, 0.9966, 0.5013)
Pt (0.5000, 0.3355, 0.8319)
Pt (0.5000, 0.8319, 0.3355)
Pt (0.5000, 0.8322, 0.8322)

Computed properties:
ΔE_f = -0.548 eV/atom
Fermi-level density of states = 6.19 states/eV per cell
ρ = 18.33 g/cm3
Symmetry = No. 38
Calculated total energy = -6.8317 eV/atom
ΔE to the lowest computed polymorph = 5.5 kJ per mole of atoms